Model a:
A plane-wave DFT calculation with GGA-PBE was carried out for an optimized crystal structure of Li3GaAg.

The space group is P2_1/m (No. 11) and the conventional cell measures 4.446, 5.559 and 7.043 Å, with angles of 90.00, 108.28 and 90.00 degrees. Symmetry generates all atoms from Li at (0.108, 0.006, 0.214), Li at (0.315, 0.250, 0.627), Ga at (0.285, 0.750, 0.577) and Ag at (0.482, 0.750, 0.969).

The spin magnetization comes out at 0.0 μB per cell. As for the crystal system: monoclinic.

Model b:
A plane-wave DFT calculation with GGA-PBE was carried out for an optimized crystal structure of Li3GaAg.

The space group is Pm-3m (No. 221) and the conventional cell measures 4.756, 4.756 and 4.756 Å, with angles of 90.00, 90.00 and 90.00 degrees. Symmetry generates all atoms from Li at (0.000, 0.000, 0.500), Ga at (0.000, 0.000, 0.000) and Ag at (0.500, 0.500, 0.500).

The spin magnetization comes out at 0.0 μB per cell. As for the crystal system: cubic.

Which structure is the least stable? The one labeled model b.

Model a:
A plane-wave DFT calculation with GGA-PBE was carried out for an optimized crystal structure of Li3GaAg.

The space group is Pm-3m (No. 221) and the conventional cell measures 4.831, 4.831 and 4.831 Å, with angles of 90.00, 90.00 and 90.00 degrees. Symmetry generates all atoms from Li at (0.000, 0.000, 0.500), Ga at (0.500, 0.500, 0.500) and Ag at (0.000, 0.000, 0.000).

The spin magnetization comes out at 0.0 μB per cell. As for the crystal system: cubic.

Model b:
A plane-wave DFT calculation with GGA-PBE was carried out for an optimized crystal structure of Li3GaAg.

The space group is P2_1 (No. 4) and the conventional cell measures 5.294, 4.405 and 6.974 Å, with angles of 90.00, 100.85 and 90.00 degrees. Symmetry generates all atoms from Li at (0.046, 0.000, 0.343), Li at (0.253, 0.000, 0.748), Li at (0.436, 0.000, 0.152), Ga at (0.138, 0.501, 0.047) and Ag at (0.336, 0.500, 0.435).

The spin magnetization comes out at 0.0 μB per cell. As for the crystal system: monoclinic.

Which structure is the least stable? The one labeled model a.